No. 1
Below is a PBEsol-optimized structure of Na2Nb3Se6, with properties calculated at the SCAN level.

Lattice parameters (Å, degrees): 3.4999 3.4999 43.7907 90.00 90.00 120.00
Space group P3m1 (No. 156)
Symmetry-distinct sites (fractional):
Na 0.0000 0.0000 0.0000 [1 per cell]
Na 0.0000 0.0000 0.1728 [1 per cell]
Na 0.0000 0.0000 0.3459 [1 per cell]
Na 0.0000 0.0000 0.6729 [1 per cell]
Nb 0.0000 0.0000 0.0866 [1 per cell]
Nb 0.0000 0.0000 0.4320 [1 per cell]
Nb 0.0000 0.0000 0.7595 [1 per cell]
Nb 0.3333 0.6667 0.2591 [1 per cell]
Nb 0.3333 0.6667 0.5863 [1 per cell]
Nb 0.3333 0.6667 0.9139 [1 per cell]
Se 0.6667 0.3333 0.0490 [1 per cell]
Se 0.6667 0.3333 0.1243 [1 per cell]
Se 0.6667 0.3333 0.2214 [1 per cell]
Se 0.6667 0.3333 0.2968 [1 per cell]
Se 0.6667 0.3333 0.3940 [1 per cell]
Se 0.6667 0.3333 0.4691 [1 per cell]
Se 0.6667 0.3333 0.5492 [1 per cell]
Se 0.6667 0.3333 0.6243 [1 per cell]
Se 0.6667 0.3333 0.7215 [1 per cell]
Se 0.6667 0.3333 0.7966 [1 per cell]
Se 0.6667 0.3333 0.8768 [1 per cell]
Se 0.6667 0.3333 0.9519 [1 per cell]

Computed properties:
Uncorrected formation energy ... -1.06 eV per atom
Total energy ... -21.8183 eV/atom
Total moment ... 0.0 μB/f.u.

No. 2
Below is a PBEsol-optimized structure of Cr2FeBr2, with properties calculated at the SCAN level.

Lattice parameters (Å, degrees): 4.092 4.092 10.016 90.00 90.00 90.00
Space group I4/mmm (No. 139)
Symmetry-distinct sites (fractional):
Cr 0.000 0.500 0.250 [4 per cell]
Fe 0.000 0.000 0.000 [2 per cell]
Br 0.000 0.000 0.361 [4 per cell]

Computed properties:
Uncorrected formation energy ... 1.15 eV per atom
Total energy ... -17.6107 eV/atom
Total moment ... 6.3 μB/f.u.

No. 3
Below is a PBEsol-optimized structure of SiMo2Au, with properties calculated at the SCAN level.

Lattice parameters (Å, degrees): 2.7903 2.7903 26.7917 90.00 90.00 120.00
Space group R-3m (No. 166, hexagonal axes)
Symmetry-distinct sites (fractional):
Si 0.0000 0.0000 0.0000 [3 per cell]
Mo 0.0000 0.0000 0.2550 [6 per cell]
Au 0.0000 0.0000 0.5000 [3 per cell]

Computed properties:
Uncorrected formation energy ... 0.17 eV per atom
Total energy ... -37.0673 eV/atom
Total moment ... 0.0 μB/f.u.